# 1
# SmGePO GGA-PBE relaxed
data_SmGePO
_symmetry_space_group_name_H-M 'P m c 21'
_symmetry_Int_Tables_number 26
_cell_length_a 4.447
_cell_length_b 4.643
_cell_length_c 6.757
_cell_angle_alpha 90.00
_cell_angle_beta 90.00
_cell_angle_gamma 90.00
loop_
_symmetry_equiv_pos_as_xyz
'x,y,z'
'-x,-y,z+1/2'
'-x,y,z'
'x,-y,z+1/2'
loop_
_atom_site_label
_atom_site_fract_x
_atom_site_fract_y
_atom_site_fract_z
Sm1 0.000 0.191 0.000
Ge1 0.500 0.351 0.373
P1 0.500 0.109 0.702
O1 0.000 0.341 0.344
# Offset from the most stable computed form (eV/atom): 0.106
# Calculated volume (Å³ per cell): 139.5

***

# 2
# PmTlSn GGA-PBE relaxed
data_PmTlSn
_symmetry_space_group_name_H-M 'F -4 3 m'
_symmetry_Int_Tables_number 216
_symmetry_space_group_name_Hall 'F -4 2 3'
_cell_length_a 7.349
_cell_length_b 7.349
_cell_length_c 7.349
_cell_angle_alpha 90.00
_cell_angle_beta 90.00
_cell_angle_gamma 90.00
loop_
_atom_site_label
_atom_site_fract_x
_atom_site_fract_y
_atom_site_fract_z
Pm1 0.000 0.000 0.000
Tl1 0.000 0.000 0.500
Sn1 0.250 0.250 0.250
# Offset from the most stable computed form (eV/atom): 0.000
# Calculated volume (Å³ per cell): 396.8

***

# 3
# KLiNiMo GGA-PBE relaxed
data_KLiNiMo
_symmetry_space_group_name_H-M 'F -4 3 m'
_symmetry_Int_Tables_number 216
_symmetry_space_group_name_Hall 'F -4 2 3'
_cell_length_a 6.972
_cell_length_b 6.972
_cell_length_c 6.972
_cell_angle_alpha 90.00
_cell_angle_beta 90.00
_cell_angle_gamma 90.00
loop_
_atom_site_label
_atom_site_fract_x
_atom_site_fract_y
_atom_site_fract_z
K1 0.000 0.000 0.000
Li1 0.000 0.000 0.500
Ni1 0.250 0.250 0.750
Mo1 0.250 0.250 0.250
# Offset from the most stable computed form (eV/atom): 0.273
# Calculated volume (Å³ per cell): 339.0

***

# 4
# SmBeNO GGA-PBE relaxed
data_SmBeNO
_symmetry_space_group_name_H-M 'P m c 21'
_symmetry_Int_Tables_number 26
_cell_length_a 3.272
_cell_length_b 5.348
_cell_length_c 5.322
_cell_angle_alpha 90.00
_cell_angle_beta 90.00
_cell_angle_gamma 90.00
loop_
_symmetry_equiv_pos_as_xyz
'x,y,z'
'-x,-y,z+1/2'
'-x,y,z'
'x,-y,z+1/2'
loop_
_atom_site_label
_atom_site_fract_x
_atom_site_fract_y
_atom_site_fract_z
Sm1 0.000 0.223 0.000
Be1 0.500 0.190 0.486
N1 0.500 0.018 0.747
O1 0.000 0.347 0.464
# Offset from the most stable computed form (eV/atom): 0.088
# Calculated volume (Å³ per cell): 93.1